Computed, not measured: CaAsO2F after structural relaxation at the PBE level of DFT.

## Properties
The formation energy (no corrections) comes out at -0.912 eV/atom. The density of states at the Fermi level comes out at 2.89 states/eV per cell. The electronic total energy comes out at -23.00 eV per formula unit.

abc: 4.409 4.409 4.083
angles: 90.00 90.00 90.00
Sites, in units of the cell vectors:
F 0.000 0.000 0.500
O 0.000 0.500 0.000
O 0.500 0.000 0.000
Ca 0.000 0.000 0.000
As 0.500 0.500 0.500

---

Computed, not measured: Ca2AsO4F after structural relaxation at the PBE level of DFT.

## Properties
The formation energy (no corrections) comes out at -2.347 eV/atom. The density of states at the Fermi level comes out at 0.00 states/eV per cell. The electronic total energy comes out at -49.13 eV per formula unit.

abc: 3.097 5.040 7.224
angles: 77.23 77.62 72.11
Sites, in units of the cell vectors:
O 0.150 0.939 0.761
O 0.850 0.061 0.239
O 0.607 0.727 0.059
O 0.393 0.273 0.941
F 0.500 0.500 0.500
Ca 0.837 0.594 0.733
Ca 0.163 0.406 0.267
As 0.000 0.000 0.000

---

Computed, not measured: CaAsO2F after structural relaxation at the PBE level of DFT.

## Properties
The formation energy (no corrections) comes out at -1.803 eV/atom. The density of states at the Fermi level comes out at 0.21 states/eV per cell. The electronic total energy comes out at -27.45 eV per formula unit.

abc: 4.102 4.102 4.184
angles: 90.00 90.00 90.00
Sites, in units of the cell vectors:
F 0.000 0.000 0.500
As 0.000 0.000 0.000
Ca 0.500 0.500 0.500
O 0.000 0.500 0.000
O 0.500 0.000 0.000

---

Computed, not measured: Ca2AsOsF after structural relaxation at the PBE level of DFT.

## Properties
The formation energy (no corrections) comes out at 0.127 eV/atom. The density of states at the Fermi level comes out at 4.46 states/eV per cell. The electronic total energy comes out at -21.12 eV per formula unit.

abc: 5.659 4.069 5.659
angles: 90.00 90.00 90.00
Sites, in units of the cell vectors:
Ca 0.500 0.000 0.000
Ca 0.000 0.000 0.500
F 0.000 0.500 0.000
As 0.000 0.000 0.000
Os 0.500 0.500 0.500

---

Computed, not measured: CaAsPb2F after structural relaxation at the PBE level of DFT.

## Properties
For the polymorph energy (0 for the lowest one), the calculation gives 0.518 eV/atom. The formation energy (no corrections) comes out at -0.012 eV/atom. The density of states at the Fermi level comes out at 4.76 states/eV per cell. The electronic total energy comes out at -16.00 eV per formula unit.

abc: 7.301 7.301 4.211
angles: 90.00 90.00 90.00
Sites, in units of the cell vectors:
As 0.000 0.000 0.000
Ca 0.500 0.500 0.500
F 0.000 0.000 0.500
Pb 0.000 0.500 0.000
Pb 0.500 0.000 0.000

---

Computed, not measured: CaAsPb2F after structural relaxation at the PBE level of DFT.

## Properties
For the polymorph energy (0 for the lowest one), the calculation gives 0.000 eV/atom. The formation energy (no corrections) comes out at -0.529 eV/atom. The density of states at the Fermi level comes out at 4.62 states/eV per cell. The electronic total energy comes out at -18.59 eV per formula unit.

abc: 6.111 4.089 6.111
angles: 90.00 90.00 90.00
Sites, in units of the cell vectors:
Ca 0.000 0.000 0.000
Pb 0.000 0.000 0.500
Pb 0.500 0.000 0.000
As 0.500 0.500 0.500
F 0.000 0.500 0.000

---

Computed, not measured: CaAsRh2F after structural relaxation at the PBE level of DFT.

## Properties
The formation energy (no corrections) comes out at -0.351 eV/atom. The density of states at the Fermi level comes out at 3.09 states/eV per cell. The electronic total energy comes out at -24.98 eV per formula unit.

abc: 4.479 4.479 4.260
angles: 90.00 90.00 90.00
Sites, in units of the cell vectors:
F 0.000 0.000 0.000
Rh 0.500 0.000 0.000
Rh 0.000 0.500 0.000
As 0.500 0.500 0.500
Ca 0.000 0.000 0.500

---

Computed, not measured: CaAsRhF after structural relaxation at the PBE level of DFT.

## Properties
The formation energy (no corrections) comes out at -1.959 eV/atom. The density of states at the Fermi level comes out at 4.39 states/eV per cell. The electronic total energy comes out at -23.71 eV per formula unit.

abc: 4.055 4.055 8.273
angles: 90.00 90.00 90.00
Sites, in units of the cell vectors:
Ca 0.000 0.500 0.346
Ca 0.500 0.000 0.654
As 0.000 0.500 0.830
As 0.500 0.000 0.170
Rh 0.000 0.000 0.000
Rh 0.500 0.500 0.000
F 0.000 0.000 0.500
F 0.500 0.500 0.500

---

Computed, not measured: CaAsSe2F after structural relaxation at the PBE level of DFT.

## Properties
For the polymorph energy (0 for the lowest one), the calculation gives 0.855 eV/atom. The formation energy (no corrections) comes out at 0.273 eV/atom. The density of states at the Fermi level comes out at 8.95 states/eV per cell. The electronic total energy comes out at -14.13 eV per formula unit.

abc: 5.333 5.333 5.610
angles: 90.00 90.00 90.00
Sites, in units of the cell vectors:
As 0.000 0.000 0.500
F 0.500 0.500 0.500
Se 0.500 0.000 0.000
Se 0.000 0.500 0.000
Ca 0.000 0.000 0.000

---

Computed, not measured: CaAsSe2F after structural relaxation at the PBE level of DFT.

## Properties
For the polymorph energy (0 for the lowest one), the calculation gives 0.000 eV/atom. The formation energy (no corrections) comes out at -0.582 eV/atom. The density of states at the Fermi level comes out at 3.86 states/eV per cell. The electronic total energy comes out at -18.40 eV per formula unit.

abc: 5.192 5.192 4.049
angles: 90.00 90.00 90.00
Sites, in units of the cell vectors:
F 0.000 0.000 0.000
Ca 0.500 0.500 0.500
Se 0.000 0.500 0.000
Se 0.500 0.000 0.000
As 0.000 0.000 0.500

---

Computed, not measured: Sr2Ca4As3F2 after structural relaxation at the PBE level of DFT.

## Properties
The formation energy (no corrections) comes out at -1.817 eV/atom. The density of states at the Fermi level comes out at 3.74 states/eV per cell. The electronic total energy comes out at -49.04 eV per formula unit.

abc: 4.708 4.708 12.565
angles: 100.80 100.80 90.00
Sites, in units of the cell vectors:
As 0.000 0.000 0.000
As 0.168 0.168 0.335
As 0.832 0.832 0.665
Ca 0.077 0.577 0.154
Ca 0.577 0.077 0.154
Ca 0.423 0.923 0.846
Ca 0.923 0.423 0.846
Sr 0.299 0.299 0.598
Sr 0.701 0.701 0.402
F 0.405 0.405 0.810
F 0.595 0.595 0.190

---

Computed, not measured: CaTiAs2F after structural relaxation at the PBE level of DFT.

## Properties
The formation energy (no corrections) comes out at -0.567 eV/atom. The density of states at the Fermi level comes out at 3.91 states/eV per cell. The electronic total energy comes out at -23.90 eV per formula unit.

abc: 4.953 4.089 4.953
angles: 90.00 90.00 90.00
Sites, in units of the cell vectors:
Ca 0.000 0.500 0.000
F 0.000 0.000 0.000
Ti 0.500 0.500 0.500
As 0.500 0.000 0.000
As 0.000 0.000 0.500